DFT (PBE) results for an optimized crystal structure of Cr2AgTe.

Crystal system: trigonal
Formation energy without anion corrections in eV/atom: 0.87
Size of the total moment in μB per formula unit: 0.06
Density of states at the Fermi level in states/eV per cell: 4.074
Space group: R-3m (166)

Cell and atoms, written as POSCAR:
```
Cr2AgTe
1.0
1.5044 0.8686 8.3821
-1.5044 0.8686 8.3821
0.0000 -1.7371 8.3821
Cr Ag Te
2 1 1
Direct
0.2460 0.2460 0.2460
0.7540 0.7540 0.7540
0.0000 0.0000 0.0000
0.5000 0.5000 0.5000
```